{"formula": "LiCrOs2", "functional": "PBE", "state": "optimized geometry", "n_ef_per_ev_atom": 0.7008, "total_magnetization_mub_per_fu": 0.0, "e_above_lowest_polymorph_ev_per_atom": 0.0445, "ef_mev_per_atom": 152, "lattice_angstrom": [[-1.369, -1.366, 3.662], [-0.501, 2.650, 3.144], [-3.810, 0.990, 1.287]], "species": ["Cr", "Os", "Os", "Li"], "fractional_positions": [[0.500, 0.500, 0.500], [0.250, 0.250, 0.250], [0.750, 0.750, 0.750], [0.000, 0.000, 0.000]]}

***

{"formula": "PmNi4C", "functional": "PBE", "state": "optimized geometry", "n_ef_per_ev_atom": 0.6230, "total_magnetization_mub_per_fu": 0.0, "ef_mev_per_atom": 8, "lattice_angstrom": [[-0.055, 0.088, -3.504], [-0.501, -6.179, -0.147], [-6.960, 0.561, 0.124]], "species": ["Pm", "Pm", "Ni", "Ni", "Ni", "Ni", "Ni", "Ni", "Ni", "Ni", "C", "C"], "fractional_positions": [[0.000, 0.586, 0.750], [0.000, 0.414, 0.250], [0.000, 0.000, 0.500], [0.000, 0.000, 0.000], [0.500, 0.962, 0.750], [0.500, 0.038, 0.250], [0.500, 0.713, 0.064], [0.500, 0.287, 0.936], [0.500, 0.713, 0.436], [0.500, 0.287, 0.564], [0.000, 0.127, 0.750], [0.000, 0.873, 0.250]]}

***

{"formula": "Tb6TeSe3S2", "functional": "PBE", "state": "optimized geometry", "n_ef_per_ev_atom": 0.4329, "total_magnetization_mub_per_fu": 0.0, "e_form_raw_mev_per_atom": -1752, "lattice_angstrom": [[4.066, 0.000, 0.000], [0.000, 8.251, 0.285], [-2.033, -2.387, 8.594]], "species": ["Tb", "Tb", "Tb", "Tb", "Tb", "Tb", "Te", "Se", "Se", "Se", "S", "S"], "fractional_positions": [[0.325, 0.887, 0.650], [0.671, 0.572, 0.342], [0.675, 0.113, 0.350], [0.012, 0.275, 0.024], [0.988, 0.725, 0.976], [0.329, 0.428, 0.658], [0.500, 0.000, 0.000], [0.500, 0.500, 0.000], [0.839, 0.164, 0.679], [0.161, 0.836, 0.321], [0.830, 0.660, 0.659], [0.170, 0.340, 0.341]]}

***

{"formula": "PuInAg2", "functional": "PBE", "state": "optimized geometry", "n_ef_per_ev_atom": 2.1655, "total_magnetization_mub_per_fu": 5.8, "ef_mev_per_atom": -78, "lattice_angstrom": [[4.959, 0.000, 0.000], [0.000, 3.061, 0.000], [0.000, -1.530, 11.528]], "species": ["Pu", "Pu", "In", "In", "Ag", "Ag", "Ag", "Ag"], "fractional_positions": [[0.250, 0.907, 0.814], [0.750, 0.093, 0.186], [0.750, 0.338, 0.676], [0.250, 0.662, 0.324], [0.250, 0.274, 0.548], [0.750, 0.726, 0.452], [0.750, 0.469, 0.937], [0.250, 0.531, 0.063]]}

***

{"formula": "FeH4Pd12", "functional": "PBE", "state": "optimized geometry", "n_ef_per_ev_atom": 0.8708, "total_magnetization_mub_per_fu": 4.9, "final_energy_ev_per_atom": -4.951, "lattice_angstrom": [[6.534, 0.000, 0.000], [-2.178, 6.160, 0.000], [-2.178, -3.080, 5.335]], "species": ["Fe", "H", "H", "H", "H", "Pd", "Pd", "Pd", "Pd", "Pd", "Pd", "Pd", "Pd", "Pd", "Pd", "Pd", "Pd"], "fractional_positions": [[0.000, 0.000, 0.000], [0.000, 0.500, 0.000], [0.500, 0.000, 0.000], [0.500, 0.500, 0.500], [0.000, 0.000, 0.500], [0.817, 0.307, 0.124], [0.307, 0.490, 0.183], [0.876, 0.183, 0.693], [0.307, 0.124, 0.817], [0.124, 0.817, 0.307], [0.693, 0.510, 0.817], [0.490, 0.183, 0.307], [0.510, 0.817, 0.693], [0.693, 0.876, 0.183], [0.817, 0.693, 0.510], [0.183, 0.307, 0.490], [0.183, 0.693, 0.876]]}

***

{"formula": "LiTlSnSe3", "functional": "PBE", "state": "optimized geometry", "n_ef_per_ev_atom": 0.2189, "total_magnetization_mub_per_fu": 0.0, "e_form_raw_mev_per_atom": -504, "lattice_angstrom": [[-5.004, -3.610, 3.502], [0.683, -5.396, -4.587], [4.593, -0.164, 6.395]], "species": ["Li", "Li", "Tl", "Tl", "Sn", "Sn", "Se", "Se", "Se", "Se", "Se", "Se"], "fractional_positions": [[0.250, 0.421, 0.842], [0.750, 0.579, 0.158], [0.750, 0.276, 0.553], [0.250, 0.724, 0.447], [0.250, 0.060, 0.120], [0.750, 0.940, 0.880], [0.250, 0.239, 0.479], [0.000, 0.258, 0.000], [0.500, 0.742, 0.000], [0.500, 0.258, 0.000], [0.000, 0.742, 0.000], [0.750, 0.761, 0.521]]}